Entry 1:
# K3Pm2PbO6

Crystalline K3Pm2PbO6 at its relaxed geometry (PBE-GGA, Alexandria).

Summary:
Crystal system = monoclinic

Cell and atoms, written as POSCAR:
```
K3Pm2PbO6
1.0
6.2487 -0.0002 0.0018
-3.1230 5.4123 0.0018
-1.0408 -1.8022 6.3154
K Pm Pb O
3 2 1 6
direct
0.1628 0.8372 0.5000 K
0.8372 0.1628 0.5000 K
0.5000 0.5000 0.5000 K
0.3331 0.6669 0.0000 Pm
0.6669 0.3331 0.0000 Pm
0.0000 0.0000 0.0000 Pb
0.9347 0.5921 0.8036 O
0.7228 0.7228 0.1961 O
0.0653 0.4079 0.1964 O
0.5921 0.9347 0.8036 O
0.2772 0.2772 0.8039 O
0.4079 0.0653 0.1964 O
```

***

Entry 2:
# K2PmPbO4

Crystalline K2PmPbO4 at its relaxed geometry (PBE-GGA, Alexandria).

Summary:
Crystal system = monoclinic

Cell and atoms, written as POSCAR:
```
K2PmPbO4
1.0
-3.5531 0.5792 0.4435
-1.2084 -5.6314 -2.3263
0.7350 -0.5425 6.5974
K Pm Pb O
2 1 1 4
direct
0.5000 0.0000 0.5000 K
0.0000 0.5000 0.5000 K
0.5000 0.5000 0.0000 Pm
0.0000 0.0000 0.0000 Pb
0.5000 0.2348 0.1974 O
0.5000 0.7652 0.8026 O
0.0000 0.2771 0.8043 O
0.0000 0.7229 0.1957 O
```

***

Entry 3:
# KPr4Pb3O12

Crystalline KPr4Pb3O12 at its relaxed geometry (PBE-GGA, Alexandria).

Summary:
Crystal system = cubic

Cell and atoms, written as POSCAR:
```
KPr4Pb3O12
1.0
-1.9525 1.3399 -7.3057
-2.4083 -6.9980 2.0512
-3.2749 5.2647 4.5319
K Pr Pb O
1 4 3 12
direct
0.0000 0.0000 0.0000 K
0.5000 0.0000 0.0000 Pr
0.5000 0.5000 0.5000 Pr
0.0000 0.5000 0.0000 Pr
0.0000 0.0000 0.5000 Pr
0.0000 0.5000 0.5000 Pb
0.5000 0.5000 0.0000 Pb
0.5000 0.0000 0.5000 Pb
0.3223 0.8281 0.1504 O
0.6777 0.1719 0.8496 O
0.6777 0.8281 0.5058 O
0.8496 0.6777 0.1719 O
0.8281 0.1504 0.3223 O
0.1719 0.4942 0.3223 O
0.4942 0.3223 0.1719 O
0.1719 0.8496 0.6777 O
0.3223 0.1719 0.4942 O
0.1504 0.3223 0.8281 O
0.8281 0.5058 0.6777 O
0.5058 0.6777 0.8281 O
```

***

Entry 4:
# K2PrPbO4

Crystalline K2PrPbO4 at its relaxed geometry (PBE-GGA, Alexandria).

Summary:
Crystal system = monoclinic

Cell and atoms, written as POSCAR:
```
K2PrPbO4
1.0
3.6704 0.0000 0.0000
0.0000 6.2577 0.0738
0.0000 -2.2202 6.3016
K Pr Pb O
2 1 1 4
direct
0.5000 0.0000 0.5000 K
0.0000 0.5000 0.5000 K
0.5000 0.5000 0.0000 Pr
0.0000 0.0000 0.0000 Pb
0.5000 0.2303 0.1979 O
0.5000 0.7697 0.8021 O
0.0000 0.2733 0.8018 O
0.0000 0.7267 0.1982 O
```

***

Entry 5:
# KPr2PbO5

Crystalline KPr2PbO5 at its relaxed geometry (PBE-GGA, Alexandria).

Summary:
Crystal system = tetragonal

Cell and atoms, written as POSCAR:
```
KPr2PbO5
1.0
6.9833 0.0000 0.0000
0.0000 6.9833 0.0000
-3.4917 -3.4917 6.4149
K Pr Pb O
2 4 2 10
direct
0.2500 0.2500 0.5000 K
0.7500 0.7500 0.5000 K
0.1772 0.3228 0.0000 Pr
0.6772 0.1772 0.0000 Pr
0.3228 0.8228 0.0000 Pr
0.8228 0.6772 0.0000 Pr
0.2500 0.7500 0.5000 Pb
0.7500 0.2500 0.5000 Pb
0.9733 0.4733 0.2363 O
0.7370 0.2370 0.7637 O
0.0267 0.5267 0.7637 O
0.2370 0.0267 0.7637 O
0.5267 0.7370 0.7637 O
0.7630 0.9733 0.2363 O
0.4733 0.2630 0.2363 O
0.2630 0.7630 0.2363 O
0.5000 0.5000 0.0000 O
0.0000 0.0000 0.0000 O
```

***

Entry 6:
# KPtPbO4

Crystalline KPtPbO4 at its relaxed geometry (PBE-GGA, Alexandria).

Summary:
Crystal system = orthorhombic

Cell and atoms, written as POSCAR:
```
KPtPbO4
1.0
6.4500 0.0000 0.0000
-3.2250 6.1637 -0.5319
0.0000 -3.7999 6.2491
K Pt Pb O
2 2 2 8
direct
0.8671 0.7342 0.1171 K
0.1329 0.2658 0.8829 K
0.5000 0.5000 0.5000 Pt
0.0000 0.5000 0.5000 Pt
0.5000 0.0000 0.5000 Pb
0.5000 0.0000 0.0000 Pb
0.7474 0.4949 0.6745 O
0.3154 0.0938 0.2969 O
0.7784 0.0938 0.2969 O
0.7474 0.4949 0.3203 O
0.2526 0.5051 0.6797 O
0.6846 0.9062 0.7031 O
0.2216 0.9062 0.7031 O
0.2526 0.5051 0.3255 O
```

***

Entry 7:
# K2PuPbO4

Crystalline K2PuPbO4 at its relaxed geometry (PBE-GGA, Alexandria).

Summary:
Crystal system = monoclinic

Cell and atoms, written as POSCAR:
```
K2PuPbO4
1.0
3.6074 0.0000 0.0000
0.0000 6.3704 0.0920
0.0000 -2.2292 6.2236
K Pu Pb O
2 1 1 4
direct
0.5000 0.0000 0.5000 K
0.0000 0.5000 0.5000 K
0.5000 0.5000 0.0000 Pu
0.0000 0.0000 0.0000 Pb
0.5000 0.2831 0.1940 O
0.5000 0.7169 0.8060 O
0.0000 0.2961 0.8077 O
0.0000 0.7039 0.1923 O
```

***

Entry 8:
# K3Pu2PbO9

Crystalline K3Pu2PbO9 at its relaxed geometry (PBE-GGA, Alexandria).

Summary:
Crystal system = trigonal

Cell and atoms, written as POSCAR:
```
K3Pu2PbO9
1.0
-5.0646 1.5172 3.1590
1.8459 -5.8715 -0.2244
4.2342 1.0918 6.2640
K Pu Pb O
3 2 1 9
direct
0.3333 0.6667 0.6587 K
0.0000 0.0000 0.0000 K
0.6667 0.3333 0.3413 K
0.3333 0.6667 0.1557 Pu
0.6667 0.3333 0.8443 Pu
0.0000 0.0000 0.5000 Pb
0.8181 0.1819 0.6942 O
0.8181 0.6362 0.6942 O
0.3638 0.1819 0.6942 O
0.6362 0.8181 0.3058 O
0.1819 0.3638 0.3058 O
0.1819 0.8181 0.3058 O
0.5000 0.0000 0.0000 O
0.0000 0.5000 0.0000 O
0.5000 0.5000 0.0000 O
```

***

Computed values of uncorrected formation energy (unit: kJ/mol of formula units) for the preceding records, in sequence: -2464; -1452; -3919; -1424; -1892; -613; -1503; -3079.